DFT (GGA+U) results for an optimized crystal structure of K3NpCr2O6.

Lattice parameters (Å, degrees): 5.708 5.708 6.706 102.64 102.64 112.63
Positions (direct):
K 0.000 0.000 0.000
K 0.331 0.669 0.000
K 0.669 0.331 0.000
Np 0.500 0.500 0.500
Cr 0.163 0.837 0.500
Cr 0.837 0.163 0.500
O 0.149 0.483 0.299
O 0.226 0.226 0.660
O 0.483 0.149 0.299
O 0.517 0.851 0.701
O 0.774 0.774 0.340
O 0.851 0.517 0.701

**Calculated volume**: 185.32 Å³ per cell
**N(E_F)**: 5.794 states/eV/cell
**Electronic total energy**: -7.0622 eV per atom
**Total magnetic moment**: 10.0 μB/f.u.